Entry from Alexandria via LeMat-Bulk: a geometry-optimized KCr2MoF8 structure (PBE+U).

```
KCr2MoF8
1.0
5.0613 0.0000 0.0000
0.4327 5.1983 0.0000
0.5047 0.6734 7.2545
K Cr Mo F
1 2 1 8
Direct
0.0000 0.0000 0.0000
0.4746 0.4783 0.2446
0.5254 0.5217 0.7554
0.0000 0.0000 0.5000
0.1936 0.7752 0.7144
0.1947 0.7763 0.2982
0.2985 0.2648 0.4624
0.3584 0.3165 0.9695
0.6416 0.6835 0.0305
0.7015 0.7352 0.5376
0.8053 0.2237 0.7018
0.8064 0.2248 0.2856
```

Calculated values
Fermi-level density of states	0.00	states/eV per cell
total magnetic moment	11.00	μB/cell
calculated total energy	-0.2126	Ha/atom